1.
Density functional theory data (meta-GGA SCAN) for Ca2AlRe at its PBEsol-relaxed geometry.

a b c (Å): 6.825 6.825 6.825
angles (deg): 90.00 90.00 90.00
Element x y z (fractional)
Ca  0.000  0.000  0.000
Ca  0.000  0.500  0.500
Ca  0.250  0.250  0.250
Ca  0.250  0.750  0.750
Ca  0.500  0.000  0.500
Ca  0.500  0.500  0.000
Ca  0.750  0.250  0.750
Ca  0.750  0.750  0.250
Al  0.250  0.250  0.750
Al  0.250  0.750  0.250
Al  0.750  0.250  0.250
Al  0.750  0.750  0.750
Re  0.000  0.000  0.500
Re  0.000  0.500  0.000
Re  0.500  0.000  0.000
Re  0.500  0.500  0.500

- volume (A^3/atom) = 19.87
- N(E_F) (states/eV per atom) = 0.267
- mass density (g/cm3) = 6.1
- energy of formation (eV/atom) = 0.480



2.
Density functional theory data (meta-GGA SCAN) for Cs2InPt at its PBEsol-relaxed geometry.

a b c (Å): 8.159 8.159 8.159
angles (deg): 90.00 90.00 90.00
Element x y z (fractional)
Cs  0.250  0.250  0.250
Cs  0.250  0.250  0.750
Cs  0.250  0.750  0.250
Cs  0.250  0.750  0.750
Cs  0.750  0.250  0.250
Cs  0.750  0.250  0.750
Cs  0.750  0.750  0.250
Cs  0.750  0.750  0.750
In  0.000  0.000  0.000
In  0.000  0.500  0.500
In  0.500  0.000  0.500
In  0.500  0.500  0.000
Pt  0.000  0.000  0.500
Pt  0.000  0.500  0.000
Pt  0.500  0.000  0.000
Pt  0.500  0.500  0.500

- volume (A^3/atom) = 33.95
- N(E_F) (states/eV per atom) = 0.595
- mass density (g/cm3) = 7.0
- energy of formation (eV/atom) = 0.335



3.
Density functional theory data (meta-GGA SCAN) for K2HgRhF6 at its PBEsol-relaxed geometry.

a b c (Å): 6.169 6.169 6.169
angles (deg): 60.00 60.00 60.00
Element x y z (fractional)
K  0.250  0.250  0.250
K  0.750  0.750  0.750
Hg  0.000  0.000  0.000
Rh  0.500  0.500  0.500
F  0.269  0.269  0.731
F  0.269  0.731  0.269
F  0.269  0.731  0.731
F  0.731  0.269  0.269
F  0.731  0.269  0.731
F  0.731  0.731  0.269

- formation energy without anion corrections (eV per atom) = -2.085
- volume (A^3/atom) = 16.60
- N(E_F) (states/eV per atom) = 0.204
- mass density (g/cm3) = 5.0



> Which of these has the lowest volume?

K2HgRhF6



> Among the records above, which one has the highest N(E_F)?

Cs2InPt



> What is the volume in the first record?

19.87 A^3/atom



> What is the formula in the second record?

Cs2InPt